No. 1
## SiMoIr2 (PBE)

Data for SiMoIr2 after structural relaxation.

Summary:
Formation energy from raw total energies   -0.215 eV per atom
DFT total energy   -8.7087 eV/atom
Volume   116 Å³/cell
Crystal system   monoclinic

Lattice parameters (Å, degrees): 9.0909 2.7626 4.6380 90.00 96.62 90.00
Atoms (fractional coordinates):
Si 0.0000 0.0000 0.0000
Si 0.5000 0.5000 0.0000
Mo 0.0000 0.5000 0.5000
Mo 0.5000 0.0000 0.5000
Ir 0.2453 0.0000 0.7496
Ir 0.2547 0.5000 0.2504
Ir 0.7453 0.5000 0.7496
Ir 0.7547 0.0000 0.2504

No. 2
## SiMoIr2 (PBE)

Data for SiMoIr2 after structural relaxation.

Summary:
Formation energy from raw total energies   0.343 eV per atom
DFT total energy   -8.1514 eV/atom
Volume   331 Å³/cell
Crystal system   tetragonal

Lattice parameters (Å, degrees): 5.4270 5.4270 11.2536 90.00 90.00 90.00
Atoms (fractional coordinates):
Si 0.0000 0.0000 0.0000
Si 0.0000 0.5000 0.2500
Si 0.5000 0.0000 0.7500
Si 0.5000 0.5000 0.5000
Mo 0.0000 0.0000 0.5000
Mo 0.0000 0.5000 0.7500
Mo 0.5000 0.0000 0.2500
Mo 0.5000 0.5000 0.0000
Ir 0.2315 0.2500 0.1250
Ir 0.2500 0.7315 0.3750
Ir 0.2500 0.7685 0.8750
Ir 0.2685 0.2500 0.6250
Ir 0.7315 0.7500 0.6250
Ir 0.7500 0.2315 0.8750
Ir 0.7500 0.2685 0.3750
Ir 0.7685 0.7500 0.1250

No. 3
## SiMoIr2 (PBE)

Data for SiMoIr2 after structural relaxation.

Summary:
Formation energy from raw total energies   -0.102 eV per atom
DFT total energy   -8.5958 eV/atom
Volume   58 Å³/cell
Crystal system   orthorhombic

Lattice parameters (Å, degrees): 2.8269 4.4976 4.5744 90.00 90.00 90.00
Atoms (fractional coordinates):
Si 0.0000 0.0000 0.0000
Mo 0.5000 0.0000 0.5000
Ir 0.0000 0.5000 0.5000
Ir 0.5000 0.5000 0.0000

No. 4
## SiMo2Ir (PBE)

Data for SiMo2Ir after structural relaxation.

Summary:
Formation energy from raw total energies   -0.179 eV per atom
DFT total energy   -9.1657 eV/atom
Volume   118 Å³/cell
Crystal system   orthorhombic

Lattice parameters (Å, degrees): 5.0566 8.2999 2.8062 90.00 90.00 90.00
Atoms (fractional coordinates):
Si 0.0000 0.0000 0.0000
Si 0.5000 0.5000 0.0000
Mo 0.2500 0.2500 0.5000
Mo 0.2500 0.7500 0.5000
Mo 0.7500 0.2500 0.5000
Mo 0.7500 0.7500 0.5000
Ir 0.0000 0.5000 0.0000
Ir 0.5000 0.0000 0.0000

No. 5
## SiMo2Ir (PBE)

Data for SiMo2Ir after structural relaxation.

Summary:
Formation energy from raw total energies   -0.076 eV per atom
DFT total energy   -9.0628 eV/atom
Volume   60 Å³/cell
Crystal system   orthorhombic

Lattice parameters (Å, degrees): 2.7684 3.8624 5.5691 90.00 90.00 90.00
Atoms (fractional coordinates):
Si 0.0000 0.0000 0.0000
Mo 0.0000 0.0000 0.4833
Mo 0.5000 0.5000 0.7778
Ir 0.5000 0.5000 0.2609

No. 6
## SiMoIr2 (PBE)

Data for SiMoIr2 after structural relaxation.

Summary:
Formation energy from raw total energies   -0.335 eV per atom
DFT total energy   -8.8293 eV/atom
Volume   57 Å³/cell
Crystal system   tetragonal

Lattice parameters (Å, degrees): 2.8720 2.8720 6.9327 90.00 90.00 90.00
Atoms (fractional coordinates):
Si 0.0000 0.0000 0.0000
Mo 0.5000 0.5000 0.7515
Ir 0.0000 0.0000 0.5007
Ir 0.5000 0.5000 0.1968

No. 7
## SiMo2Ir (PBE)

Data for SiMo2Ir after structural relaxation.

Summary:
Formation energy from raw total energies   -0.151 eV per atom
DFT total energy   -9.1374 eV/atom
Volume   59 Å³/cell
Crystal system   tetragonal

Lattice parameters (Å, degrees): 3.6789 3.6789 4.3454 90.00 90.00 90.00
Atoms (fractional coordinates):
Si 0.0000 0.0000 0.0000
Mo 0.0000 0.5000 0.5000
Mo 0.5000 0.0000 0.5000
Ir 0.5000 0.5000 0.0000

No. 8
## SiMoIr2 (PBE)

Data for SiMoIr2 after structural relaxation.

Summary:
Formation energy from raw total energies   -0.423 eV per atom
DFT total energy   -8.9173 eV/atom
Volume   56 Å³/cell
Crystal system   tetragonal

Lattice parameters (Å, degrees): 2.8284 2.8284 7.0531 90.00 90.00 90.00
Atoms (fractional coordinates):
Si 0.0000 0.0000 0.0000
Mo 0.0000 0.0000 0.5000
Ir 0.5000 0.5000 0.2124
Ir 0.5000 0.5000 0.7876

No. 9
## Si3MoIr (PBE)

Data for Si3MoIr after structural relaxation.

Summary:
Excess energy over the best structure of this formula in the dataset   198.9 meV/atom
Formation energy from raw total energies   1.198 eV per atom
DFT total energy   -5.9942 eV/atom
Volume   98 Å³/cell
Crystal system   cubic

Lattice parameters (Å, degrees): 4.6134 4.6134 4.6134 90.00 90.00 90.00
Atoms (fractional coordinates):
Si 0.0000 0.0000 0.5000
Si 0.0000 0.5000 0.0000
Si 0.5000 0.0000 0.0000
Mo 0.0000 0.0000 0.0000
Ir 0.5000 0.5000 0.5000

No. 10
## SiMoIr3 (PBE)

Data for SiMoIr3 after structural relaxation.

Summary:
Excess energy over the best structure of this formula in the dataset   0.0 meV/atom
Formation energy from raw total energies   0.842 eV per atom
DFT total energy   -7.7250 eV/atom
Volume   86 Å³/cell
Crystal system   cubic

Lattice parameters (Å, degrees): 4.4059 4.4059 4.4059 90.00 90.00 90.00
Atoms (fractional coordinates):
Si 0.0000 0.0000 0.0000
Mo 0.5000 0.5000 0.5000
Ir 0.0000 0.0000 0.5000
Ir 0.0000 0.5000 0.0000
Ir 0.5000 0.0000 0.0000

No. 11
## SiMo2Ir (PBE)

Data for SiMo2Ir after structural relaxation.

Summary:
Formation energy from raw total energies   -0.291 eV per atom
DFT total energy   -9.2772 eV/atom
Volume   117 Å³/cell
Crystal system   tetragonal

Lattice parameters (Å, degrees): 3.7173 3.7173 8.4431 90.00 90.00 90.00
Atoms (fractional coordinates):
Si 0.0000 0.0000 0.0000
Si 0.5000 0.5000 0.5000
Mo 0.0000 0.5000 0.2500
Mo 0.0000 0.5000 0.7500
Mo 0.5000 0.0000 0.2500
Mo 0.5000 0.0000 0.7500
Ir 0.0000 0.0000 0.5000
Ir 0.5000 0.5000 0.0000

No. 12
## SiMo2Ir (PBE)

Data for SiMo2Ir after structural relaxation.

Summary:
Formation energy from raw total energies   -0.266 eV per atom
DFT total energy   -9.2524 eV/atom
Volume   117 Å³/cell
Crystal system   orthorhombic

Lattice parameters (Å, degrees): 2.8683 4.4901 9.0916 90.00 90.00 90.00
Atoms (fractional coordinates):
Si 0.0000 0.0000 0.0000
Si 0.5000 0.5000 0.5000
Mo 0.0000 0.0000 0.4815
Mo 0.0000 0.5000 0.2720
Mo 0.5000 0.0000 0.7720
Mo 0.5000 0.5000 0.9815
Ir 0.0000 0.5000 0.7145
Ir 0.5000 0.0000 0.2145

No. 13
## SiMo2Ir (PBE)

Data for SiMo2Ir after structural relaxation.

Summary:
Formation energy from raw total energies   -0.257 eV per atom
DFT total energy   -9.2433 eV/atom
Volume   59 Å³/cell
Crystal system   monoclinic

Lattice parameters (Å, degrees): 2.7761 4.1169 5.1448 90.00 94.69 90.00
Atoms (fractional coordinates):
Si 0.0000 0.0000 0.0000
Mo 0.4583 0.5000 0.2381
Mo 0.5417 0.5000 0.7619
Ir 0.0000 0.0000 0.5000

No. 14
## Si3MoIr (PBE)

Data for Si3MoIr after structural relaxation.

Summary:
Excess energy over the best structure of this formula in the dataset   0.0 meV/atom
Formation energy from raw total energies   0.999 eV per atom
DFT total energy   -6.1931 eV/atom
Volume   99 Å³/cell
Crystal system   cubic

Lattice parameters (Å, degrees): 4.6274 4.6274 4.6274 90.00 90.00 90.00
Atoms (fractional coordinates):
Si 0.0000 0.0000 0.5000
Si 0.0000 0.5000 0.0000
Si 0.5000 0.0000 0.0000
Mo 0.5000 0.5000 0.5000
Ir 0.0000 0.0000 0.0000

No. 15
## Si2MoIr2 (PBE)

Data for Si2MoIr2 after structural relaxation.

Summary:
Formation energy from raw total energies   -0.426 eV per atom
DFT total energy   -8.3063 eV/atom
Volume   139 Å³/cell
Crystal system   tetragonal

Lattice parameters (Å, degrees): 7.1215 7.1215 2.7459 90.00 90.00 90.00
Atoms (fractional coordinates):
Si 0.1512 0.3488 0.0000
Si 0.3488 0.8488 0.0000
Si 0.6512 0.1512 0.0000
Si 0.8488 0.6512 0.0000
Mo 0.0000 0.0000 0.0000
Mo 0.5000 0.5000 0.0000
Ir 0.1489 0.6489 0.5000
Ir 0.3511 0.1489 0.5000
Ir 0.6489 0.8511 0.5000
Ir 0.8511 0.3511 0.5000

No. 16
## SiMo2Ir (PBE)

Data for SiMo2Ir after structural relaxation.

Summary:
Formation energy from raw total energies   -0.138 eV per atom
DFT total energy   -9.1243 eV/atom
Volume   58 Å³/cell
Crystal system   tetragonal

Lattice parameters (Å, degrees): 3.0580 3.0580 6.2521 90.00 90.00 90.00
Atoms (fractional coordinates):
Si 0.0000 0.0000 0.0000
Mo 0.0000 0.0000 0.5231
Mo 0.5000 0.5000 0.7691
Ir 0.5000 0.5000 0.2309

No. 17
## SiMo2Ir (PBE)

Data for SiMo2Ir after structural relaxation.

Summary:
Formation energy from raw total energies   -0.262 eV per atom
DFT total energy   -9.2483 eV/atom
Volume   59 Å³/cell
Crystal system   monoclinic

Lattice parameters (Å, degrees): 2.7857 4.1318 5.2452 90.00 101.63 90.00
Atoms (fractional coordinates):
Si 0.0000 0.0000 0.0000
Mo 0.4214 0.5000 0.7799
Mo 0.6886 0.0000 0.4957
Ir 0.0931 0.5000 0.2514

No. 18
## SiMoIr2 (PBE)

Data for SiMoIr2 after structural relaxation.

Summary:
Formation energy from raw total energies   -0.196 eV per atom
DFT total energy   -8.6901 eV/atom
Volume   115 Å³/cell
Crystal system   orthorhombic

Lattice parameters (Å, degrees): 5.4965 7.4703 2.8036 90.00 90.00 90.00
Atoms (fractional coordinates):
Si 0.0000 0.0000 0.0000
Si 0.5000 0.5000 0.0000
Mo 0.0000 0.5000 0.0000
Mo 0.5000 0.0000 0.0000
Ir 0.2500 0.2500 0.5000
Ir 0.2500 0.7500 0.5000
Ir 0.7500 0.2500 0.5000
Ir 0.7500 0.7500 0.5000

No. 19
## SiMo2Ir (PBE)

Data for SiMo2Ir after structural relaxation.

Summary:
Formation energy from raw total energies   -0.059 eV per atom
DFT total energy   -9.0460 eV/atom
Volume   178 Å³/cell
Crystal system   trigonal

Lattice parameters (Å, degrees): 2.7967 2.7967 26.2866 90.00 90.00 120.00
Atoms (fractional coordinates):
Si 0.0000 0.0000 0.0000
Si 0.3333 0.6667 0.6667
Si 0.6667 0.3333 0.3333
Mo 0.0000 0.0000 0.2516
Mo 0.0000 0.0000 0.7484
Mo 0.3333 0.6667 0.4151
Mo 0.3333 0.6667 0.9182
Mo 0.6667 0.3333 0.0818
Mo 0.6667 0.3333 0.5849
Ir 0.0000 0.0000 0.5000
Ir 0.3333 0.6667 0.1667
Ir 0.6667 0.3333 0.8333

No. 20
## SiMoIr2 (PBE)

Data for SiMoIr2 after structural relaxation.

Summary:
Formation energy from raw total energies   -0.316 eV per atom
DFT total energy   -8.8099 eV/atom
Volume   116 Å³/cell
Crystal system   orthorhombic

Lattice parameters (Å, degrees): 3.9605 2.8132 10.4132 90.00 90.00 90.00
Atoms (fractional coordinates):
Si 0.0000 0.0000 0.0000
Si 0.0000 0.5000 0.5000
Mo 0.5000 0.0000 0.3892
Mo 0.5000 0.5000 0.8892
Ir 0.0000 0.0000 0.7646
Ir 0.0000 0.5000 0.2646
Ir 0.5000 0.0000 0.1253
Ir 0.5000 0.5000 0.6253

Size of the total moment, respectively: 0.00, 0.00, 0.00, 0.00, 0.00, 0.00, 0.00, 0.00, 0.91, 3.00, 0.00, 0.00, 0.00, 3.29, 0.00, 0.00, 0.00, 0.00, 0.00, 0.00 μB per formula unit.
Calculated density, respectively: 14.59, 10.19, 14.52, 11.62, 11.49, 14.77, 11.64, 14.96, 6.30, 13.60, 11.73, 11.69, 11.68, 6.24, 12.80, 11.71, 11.57, 14.67, 11.53, 14.55 g cm⁻³.